Material: V2CrO4
Method: DFT, PBE+U
State: relaxed

a b c (Å): 11.2834 3.0834 5.1688
angles (deg): 90.00 115.19 90.00
Last column: nearest neighbours and their distance in Å.
Fractional positions:
V 0.2228 0.0000 0.2286  6 O 1.99-2.17
V 0.2772 0.5000 0.7714  6 O 1.99-2.17
V 0.7228 0.5000 0.2286  6 O 1.99-2.17
V 0.7772 0.0000 0.7714  6 O 1.99-2.17
Cr 0.0000 0.5000 0.5000  2 O 2.05
Cr 0.5000 0.0000 0.5000  2 O 2.05
O 0.1386 0.5000 0.3415  3 V 2.02-2.10, 1 Cr 2.05
O 0.1488 0.0000 0.8046  3 V 1.99-2.17
O 0.3512 0.5000 0.1954  3 V 1.99-2.17
O 0.3614 0.0000 0.6585  3 V 2.02-2.10, 1 Cr 2.05
O 0.6386 0.0000 0.3415  3 V 2.02-2.10, 1 Cr 2.05
O 0.6488 0.5000 0.8046  3 V 1.99-2.17
O 0.8512 0.0000 0.1954  3 V 1.99-2.17
O 0.8614 0.5000 0.6585  3 V 2.02-2.10, 1 Cr 2.05

Values from the calculation:
total energy = -7.89 eV per atom